[1]
VASP calculation (PBE) on a relaxed structure of LaBRh2.

```
LaBRh2
1.0
-1.177 2.905 0.593
-2.990 -0.283 -4.547
-1.495 -1.488 4.318
B Rh La
1 2 1
direct
0.500 0.000 0.000
0.000 0.176 0.340
0.000 0.824 0.660
0.500 0.500 0.000
```

- Symmetry: P2/m
- ΔE_f: -380 meV per atom
- Calculated density: 8.55 Mg/m³

[2]
VASP calculation (PBE) on a relaxed structure of La3BRh.

```
La3BRh
1.0
-1.109 -1.282 -4.898
5.033 0.262 -1.208
0.546 -5.015 1.189
La Rh B
3 1 1
direct
0.500 0.000 0.000
0.000 0.000 0.500
0.000 0.500 0.000
0.500 0.500 0.500
0.000 0.000 0.000
```

- Relative energy among the computed polymorphs: 0 meV/atom
- Symmetry: Pm-3m
- ΔE_f: 149 meV per atom
- Calculated density: 6.33 Mg/m³

[3]
VASP calculation (PBE) on a relaxed structure of La2BRh4.

```
La2BRh4
1.0
4.309 0.000 0.000
0.000 4.309 0.000
2.155 2.155 6.939
B Rh La
1 4 2
direct
0.000 0.000 0.000
0.853 0.853 0.295
0.147 0.147 0.705
0.000 0.500 0.000
0.500 0.000 0.000
0.657 0.657 0.686
0.343 0.343 0.314
```

- Symmetry: I4/mmm
- ΔE_f: -613 meV per atom
- Calculated density: 9.02 Mg/m³

[4]
VASP calculation (PBE) on a relaxed structure of LaBRh2.

```
LaBRh2
1.0
-1.526 0.964 -3.358
-3.789 0.082 -0.419
-1.828 5.543 0.258
Rh B La
2 1 1
direct
0.211 0.211 0.368
0.789 0.789 0.632
0.500 0.500 0.500
0.000 0.000 0.000
```

- Symmetry: R-3m
- ΔE_f: -388 meV per atom
- Calculated density: 8.66 Mg/m³

[5]
VASP calculation (PBE) on a relaxed structure of La2BRh.

```
La2BRh
1.0
-0.775 5.321 -4.957
0.001 -4.985 -5.351
-3.982 -0.113 -4.893
La B Rh
4 2 2
direct
0.875 0.864 0.750
0.136 0.625 0.250
0.614 0.125 0.250
0.375 0.386 0.750
0.250 0.750 0.500
0.500 0.500 0.000
0.000 0.000 0.000
0.750 0.250 0.500
```

- Symmetry: I-42d
- ΔE_f: 147 meV per atom
- Calculated density: 6.72 Mg/m³

[6]
VASP calculation (PBE) on a relaxed structure of LaBRh2.

```
LaBRh2
1.0
4.859 0.000 0.000
0.000 4.859 0.000
2.429 2.429 6.704
Rh B La
4 2 2
direct
0.453 0.125 0.250
0.375 0.547 0.750
0.875 0.703 0.750
0.297 0.625 0.250
0.250 0.750 0.500
0.500 0.500 0.000
0.750 0.250 0.500
0.000 0.000 0.000
```

- Symmetry: I-42d
- ΔE_f: -330 meV per atom
- Calculated density: 7.46 Mg/m³

What did the fifth record say?
VASP calculation (PBE) on a relaxed structure of La2BRh.

```
La2BRh
1.0
-0.775 5.321 -4.957
0.001 -4.985 -5.351
-3.982 -0.113 -4.893
La B Rh
4 2 2
direct
0.875 0.864 0.750
0.136 0.625 0.250
0.614 0.125 0.250
0.375 0.386 0.750
0.250 0.750 0.500
0.500 0.500 0.000
0.000 0.000 0.000
0.750 0.250 0.500
```

- Symmetry: I-42d
- ΔE_f: 147 meV per atom
- Calculated density: 6.72 Mg/m³

Among the records above, which one has the highest calculated density? La2BRh4